# BiB3W | Alexandria | GGA-PBE | optimized geometry
data_BiB3W
_cell_length_a 4.4571
_cell_length_b 4.4571
_cell_length_c 4.4571
_cell_angle_alpha 90.00
_cell_angle_beta 90.00
_cell_angle_gamma 90.00
_space_group_name_H-M_alt 'P m -3 m'
_space_group_IT_number 221
_space_group_name_Hall '-P 4 2 3'
loop_
_atom_site_label
_atom_site_type_symbol
_atom_site_fract_x
_atom_site_fract_y
_atom_site_fract_z
Bi1 Bi 0.0000 0.0000 0.0000
B1 B 0.0000 0.0000 0.5000
W1 W 0.5000 0.5000 0.5000
# M_tot, μB per atom: 0.00
# Distance to the lowest polymorph of the same formula, eV per formula unit: 10.17
# Calculated formation energy, eV/atom: 3.287
# V, Å³ per atom: 17.71